Material: TlCd3Sb2
Method: DFT, PBE
State: relaxed

abc: 9.731 9.731 8.294
angles: 113.88 113.88 28.98
Fractional coordinates of all 12 atoms:
Tl 0.127 0.127 0.151
Tl 0.873 0.873 0.849
Cd 0.046 0.046 0.681
Cd 0.325 0.325 0.098
Cd 0.332 0.332 0.530
Cd 0.668 0.668 0.470
Cd 0.675 0.675 0.902
Cd 0.954 0.954 0.319
Sb 0.214 0.214 0.714
Sb 0.499 0.499 0.817
Sb 0.501 0.501 0.183
Sb 0.786 0.786 0.286

Properties
**Raw formation energy**: 0.01 eV per atom
**Raw total energy**: -26.6 eV per cell
**Density of states at the Fermi level**: 3.70 states/eV per cell